The following is a DFT calculation (PBE) of crystalline CuWCl6 at its relaxed geometry.

The space group is P-1 (No. 2) and the conventional cell measures 6.1524, 6.1572 and 6.5899 Å, with angles of 90.15, 117.73 and 119.93 degrees. The asymmetric unit holds Cu at (0.0000, 0.0000, 0.0000), W at (0.0000, 0.5000, 0.5000), Cl at (0.1457, 0.7362, 0.2565), Cl at (0.1524, 0.8893, 0.7443) and Cl at (0.4800, 0.5911, 0.7438).

The calculation puts the total energy at -33.59 eV per cell.


The following is a DFT calculation (PBE) of crystalline Hf6In2Os at its relaxed geometry.

The space group is P-62m (No. 189) and the conventional cell measures 8.1471, 8.1471 and 3.3707 Å, with angles of 90.00, 90.00 and 120.00 degrees. The asymmetric unit holds Hf at (0.0000, 0.3786, 0.0000), Hf at (0.0000, 0.7441, 0.5000), In at (0.3333, 0.6667, 0.5000) and Os at (0.0000, 0.0000, 0.0000).

The distance to the lowest polymorph of the same formula comes out at 0.0 meV per atom. The value obtained for the energy of formation is -238 meV per atom.


The following is a DFT calculation (PBE) of crystalline Dy6Tl3Cu at its relaxed geometry.

The space group is Pnnm (No. 58) and the conventional cell measures 9.0922, 11.6525 and 5.2448 Å, with angles of 90.00, 90.00 and 90.00 degrees. The asymmetric unit holds Dy at (0.0063, 0.2361, 0.0000), Dy at (0.1600, 0.0830, 0.5000), Dy at (0.1762, 0.4140, 0.5000), Tl at (0.0000, 0.5000, 0.0000), Tl at (0.1609, 0.7483, 0.5000) and Cu at (0.0000, 0.0000, 0.0000).

The value obtained for the energy of formation is -200 meV per atom.


The following is a DFT calculation (PBE) of crystalline EuYErCd at its relaxed geometry.

The space group is F-43m (No. 216) and the conventional cell measures 7.7830, 7.7830 and 7.7830 Å, with angles of 90.00, 90.00 and 90.00 degrees. The asymmetric unit holds Eu at (0.0000, 0.0000, 0.0000), Y at (0.2500, 0.2500, 0.7500), Er at (0.2500, 0.2500, 0.2500) and Cd at (0.0000, 0.0000, 0.5000).

The value obtained for the energy of formation is 4 meV per atom.


The following is a DFT calculation (PBE) of crystalline InHgSCl at its relaxed geometry.

The space group is Cm (No. 8) and the conventional cell measures 6.8432, 3.9559 and 10.5262 Å, with angles of 90.00, 101.27 and 90.00 degrees. The asymmetric unit holds In at (0.0000, 0.0000, 0.0000), Hg at (0.2046, 0.0000, 0.5705), S at (0.1346, 0.5000, 0.8934) and Cl at (0.0716, 0.0000, 0.2259).

The calculation puts the total energy at -22.37 eV per cell.


The following is a DFT calculation (PBE) of crystalline Sr4InPt at its relaxed geometry.

The space group is C2/c (No. 15) and the conventional cell measures 9.4058, 14.1839 and 7.0076 Å, with angles of 90.00, 106.35 and 90.00 degrees. The asymmetric unit holds Sr at (0.1074, 0.1661, 0.0402), Sr at (0.2118, 0.4250, 0.4062), In at (0.0000, 0.3667, 0.7500) and Pt at (0.0000, 0.0011, 0.2500).

The distance to the lowest polymorph of the same formula comes out at 0.0 meV per atom. The value obtained for the energy of formation is -465 meV per atom.